(1)
Y2AlAu2 | PBE | optimized geometry

Geometry as CIF:
```
data_Y2AlAu2
_symmetry_space_group_name_H-M 'P 1'
_symmetry_Int_Tables_number 1
_cell_length_a 3.828
_cell_length_b 3.828
_cell_length_c 8.842
_cell_angle_alpha 77.50
_cell_angle_beta 77.50
_cell_angle_gamma 90.00
loop_
_symmetry_equiv_pos_as_xyz
'x,y,z'
loop_
_atom_site_label
_atom_site_fract_x
_atom_site_fract_y
_atom_site_fract_z
Y1 0.394 0.394 0.211
Y2 0.606 0.606 0.789
Au1 0.750 0.250 0.500
Au2 0.250 0.750 0.500
Al1 0.000 0.000 0.000
```

Summary:
energy of formation = -0.364 eV per atom
volume = 123.4 Å³ per cell
spin magnetization = 0.000 μB/f.u.
space group = I4/mmm, No. 139

=====

(2)
YAl2Au | PBE | optimized geometry

Geometry as CIF:
```
data_YAl2Au
_symmetry_space_group_name_H-M 'P 1'
_symmetry_Int_Tables_number 1
_cell_length_a 4.505
_cell_length_b 3.472
_cell_length_c 5.411
_cell_angle_alpha 89.99
_cell_angle_beta 90.00
_cell_angle_gamma 90.00
loop_
_symmetry_equiv_pos_as_xyz
'x,y,z'
loop_
_atom_site_label
_atom_site_fract_x
_atom_site_fract_y
_atom_site_fract_z
Au1 0.500 0.250 0.250
Y1 0.500 0.750 0.750
Al1 0.000 0.250 0.502
Al2 0.000 0.250 0.998
```

Summary:
energy of formation = -0.499 eV per atom
volume = 84.6 Å³ per cell
spin magnetization = 0.000 μB/f.u.
space group = Pmmm, No. 47

=====

(3)
YAl6Au3 | PBE | optimized geometry

Geometry as CIF:
```
data_YAl6Au3
_symmetry_space_group_name_H-M 'P 1'
_symmetry_Int_Tables_number 1
_cell_length_a 4.267
_cell_length_b 8.580
_cell_length_c 10.426
_cell_angle_alpha 97.06
_cell_angle_beta 90.00
_cell_angle_gamma 90.00
loop_
_symmetry_equiv_pos_as_xyz
'x,y,z'
loop_
_atom_site_label
_atom_site_fract_x
_atom_site_fract_y
_atom_site_fract_z
Au1 0.250 0.649 0.168
Au2 0.750 0.705 0.549
Au3 0.250 0.815 0.909
Au4 0.750 0.185 0.091
Au5 0.250 0.295 0.451
Au6 0.750 0.351 0.832
Al1 0.750 0.844 0.054
Al2 0.750 0.782 0.314
Al3 0.750 0.486 0.088
Al4 0.250 0.156 0.946
Al5 0.250 0.916 0.538
Al6 0.250 0.348 0.210
Al7 0.750 0.652 0.790
Al8 0.750 0.407 0.579
Al9 0.250 0.514 0.912
Al10 0.250 0.218 0.686
Al11 0.750 0.084 0.462
Al12 0.250 0.593 0.421
Y1 0.250 0.009 0.233
Y2 0.750 0.991 0.767
```

Summary:
energy of formation = -0.397 eV per atom
volume = 378.8 Å³ per cell
spin magnetization = 0.000 μB/f.u.
space group = P2_1/m, No. 11

=====

(4)
Y7Al2Au2 | PBE | optimized geometry

Geometry as CIF:
```
data_Y7Al2Au2
_symmetry_space_group_name_H-M 'P 1'
_symmetry_Int_Tables_number 1
_cell_length_a 6.814
_cell_length_b 7.226
_cell_length_c 6.814
_cell_angle_alpha 90.00
_cell_angle_beta 108.61
_cell_angle_gamma 90.00
loop_
_symmetry_equiv_pos_as_xyz
'x,y,z'
loop_
_atom_site_label
_atom_site_fract_x
_atom_site_fract_y
_atom_site_fract_z
Au1 0.707 0.000 0.293
Au2 0.293 0.000 0.707
Y1 0.500 0.728 0.000
Y2 0.000 0.272 0.500
Y3 0.500 0.261 0.500
Y4 0.500 0.739 0.500
Y5 0.000 0.728 0.500
Y6 0.500 0.272 0.000
Y7 0.000 0.000 0.000
Al1 0.167 0.500 0.167
Al2 0.833 0.500 0.833
```

Summary:
energy of formation = -0.258 eV per atom
volume = 318.0 Å³ per cell
spin magnetization = 0.000 μB/f.u.
space group = Cmmm, No. 65